The following is a DFT calculation (GGA-PBE) of a relaxed LiZr2As crystal.

Unit cell a=3.7256 b=3.7256 c=21.0127 alpha=90.00 beta=90.00 gamma=120.00
Closest atoms and distances in Å follow each position.
Space group R-3m (No. 166, hexagonal axes)
Symmetry-distinct sites (fractional):
Li 0.0000 0.0000 0.0000  6 Zr 2.90
Zr 0.0000 0.0000 0.2407  3 As 2.65, 3 Li 2.90
As 0.0000 0.0000 0.5000  6 Zr 2.65

- Calculated volume: 21.05 A^3/atom
- Total energy: -6.2193 eV/atom
- N(E_F): 0.3417 states/eV/atom
- Magnetic moment: 0.00 μB per cell
- Formation enthalpy at 0 K: -1.2 eV/f.u.
- Energy relative to the lowest polymorph listed for this composition: 0.273 eV per atom